(1)
Entry from Alexandria: a relaxed Zr2FeWS crystal (PBE).

The value obtained for the total magnetization is 0.401 μB/atom. Its raw total energy is -42.218 eV for the cell shown. The value obtained for the density of states at the Fermi level is 3.81 states/eV per cell.

It has space group P4/mmm (No. 123), with a = 4.8484 Å, b = 4.8484 Å, c = 3.9705 Å, α = 90.00°, β = 90.00° and γ = 90.00°. The asymmetric unit holds Zr at (0.0000, 0.5000, 0.0000), Fe at (0.0000, 0.0000, 0.5000), W at (0.5000, 0.5000, 0.5000) and S at (0.0000, 0.0000, 0.0000).

(2)
Entry from Alexandria: a relaxed ScV2W crystal (PBE).

The value obtained for the total magnetization is 0.000 μB/atom. The value obtained for the density of states at the Fermi level is 22.54 states/eV per cell. The value obtained for the energy above the most stable polymorph in this dataset is 0.5492 eV/atom. Its formation energy is 0.7014 eV per atom.

It has space group I-42d (No. 122), with a = 7.0392 Å, b = 7.0392 Å, c = 5.5487 Å, α = 90.00°, β = 90.00° and γ = 90.00°. The asymmetric unit holds Sc at (0.0000, 0.0000, 0.0000), V at (0.2244, 0.7500, 0.6250) and W at (0.0000, 0.0000, 0.5000).

(3)
Entry from Alexandria: a relaxed TmTlHg crystal (PBE).

The value obtained for the total magnetization is 0.000 μB/atom. The value obtained for the density of states at the Fermi level is 1.33 states/eV per cell. The value obtained for the energy above the most stable polymorph in this dataset is 0.0427 eV/atom. Its formation energy is -0.2425 eV per atom.

It has space group P3m1 (No. 156), with a = 4.9046 Å, b = 4.9046 Å, c = 3.6901 Å, α = 90.00°, β = 90.00° and γ = 120.00°. The asymmetric unit holds Tm at (0.0000, 0.0000, 0.0000), Tl at (0.3333, 0.6667, 0.6013) and Hg at (0.6667, 0.3333, 0.3529).

(4)
Entry from Alexandria: a relaxed YInTe3 crystal (PBE).

The value obtained for the total magnetization is 0.000 μB/atom. The value obtained for the energy above the most stable polymorph in this dataset is 0.1133 eV/atom.

It has space group P2_1/c (No. 14), with a = 7.6763 Å, b = 7.9005 Å, c = 12.5668 Å, α = 90.00°, β = 118.13° and γ = 90.00°. The asymmetric unit holds Y at (0.1581, 0.1293, 0.2103), In at (0.2545, 0.6393, 0.1159), Te at (0.0995, 0.1921, 0.9349), Te at (0.2291, 0.6672, 0.8874) and Te at (0.4667, 0.0661, 0.8184).

(5)
Entry from Alexandria: a relaxed KRbHgI crystal (PBE).

The value obtained for the total magnetization is 0.000 μB/atom. Its raw total energy is -26.611 eV for the cell shown. The value obtained for the density of states at the Fermi level is 11.31 states/eV per cell.

It has space group F-43m (No. 216), with a = 8.9269 Å, b = 8.9269 Å, c = 8.9269 Å, α = 90.00°, β = 90.00° and γ = 90.00°. The asymmetric unit holds K at (0.0000, 0.0000, 0.0000), Rb at (0.0000, 0.0000, 0.5000), Hg at (0.2500, 0.2500, 0.7500) and I at (0.2500, 0.2500, 0.2500).

(6)
Entry from Alexandria: a relaxed SnHg2Au2 crystal (PBE).

The value obtained for the total magnetization is 0.000 μB/atom. The value obtained for the density of states at the Fermi level is 3.09 states/eV per cell. The value obtained for the energy above the most stable polymorph in this dataset is 0.0849 eV/atom. Its formation energy is 0.0665 eV per atom.

It has space group P4/mbm (No. 127), with a = 8.1591 Å, b = 8.1591 Å, c = 3.3503 Å, α = 90.00°, β = 90.00° and γ = 90.00°. The asymmetric unit holds Sn at (0.0000, 0.0000, 0.0000), Hg at (0.1709, 0.3291, 0.5000) and Au at (0.1278, 0.6278, 0.0000).

(7)
Entry from Alexandria: a relaxed KMg2ZnIr crystal (PBE).

The value obtained for the total magnetization is 0.000 μB/atom. The value obtained for the density of states at the Fermi level is 2.56 states/eV per cell. The value obtained for the energy above the most stable polymorph in this dataset is 0.5243 eV/atom. Its formation energy is 0.4222 eV per atom.

It has space group P4/mmm (No. 123), with a = 5.0706 Å, b = 5.0706 Å, c = 4.8049 Å, α = 90.00°, β = 90.00° and γ = 90.00°. The asymmetric unit holds K at (0.0000, 0.0000, 0.0000), Mg at (0.0000, 0.5000, 0.5000), Zn at (0.5000, 0.5000, 0.5000) and Ir at (0.5000, 0.5000, 0.0000).

(8)
Entry from Alexandria: a relaxed NpTlCdHg crystal (PBE).

The value obtained for the total magnetization is 1.079 μB/atom. The value obtained for the density of states at the Fermi level is 37.04 states/eV per cell. Its formation energy is 0.1757 eV per atom.

It has space group F-43m (No. 216), with a = 7.3884 Å, b = 7.3884 Å, c = 7.3884 Å, α = 90.00°, β = 90.00° and γ = 90.00°. The asymmetric unit holds Np at (0.0000, 0.0000, 0.0000), Tl at (0.2500, 0.2500, 0.2500), Cd at (0.0000, 0.0000, 0.5000) and Hg at (0.2500, 0.2500, 0.7500).

(9)
Entry from Alexandria: a relaxed Nb3GaH2 crystal (PBE).

The value obtained for the total magnetization is 0.000 μB/atom. Its raw total energy is -79.738 eV for the cell shown. The value obtained for the density of states at the Fermi level is 6.56 states/eV per cell.

It has space group P2_1/m (No. 11), with a = 5.2433 Å, b = 3.3877 Å, c = 9.0711 Å, α = 90.00°, β = 92.47° and γ = 90.00°. The asymmetric unit holds Nb at (0.0329, 0.2500, 0.3336), Nb at (0.2009, 0.2500, 0.9372), Nb at (0.3691, 0.2500, 0.5913), Ga at (0.3302, 0.7500, 0.1637), H at (0.0262, 0.7500, 0.8910) and H at (0.4192, 0.2500, 0.3771).

(10)
Entry from Alexandria: a relaxed Ac2ThO6 crystal (PBE).

The value obtained for the total magnetization is 0.229 μB/atom. Its raw total energy is -145.748 eV for the cell shown. The value obtained for the density of states at the Fermi level is 18.14 states/eV per cell.

It has space group Immm (No. 71), with a = 4.1291 Å, b = 5.8719 Å, c = 12.3466 Å, α = 90.00°, β = 90.00° and γ = 90.00°. The asymmetric unit holds Ac at (0.0000, 0.0000, 0.1662), Th at (0.0000, 0.0000, 0.5000), O at (0.0000, 0.2404, 0.3418) and O at (0.0000, 0.2697, 0.0000).

(11)
Entry from Alexandria: a relaxed SrZrCu3 crystal (PBE).

The value obtained for the total magnetization is 0.263 μB/atom. The value obtained for the density of states at the Fermi level is 3.95 states/eV per cell. The value obtained for the energy above the most stable polymorph in this dataset is 0.8001 eV/atom. Its formation energy is 1.3325 eV per atom.

It has space group Pm-3m (No. 221), with a = 4.9256 Å, b = 4.9256 Å, c = 4.9256 Å, α = 90.00°, β = 90.00° and γ = 90.00°. The asymmetric unit holds Sr at (0.0000, 0.0000, 0.0000), Zr at (0.5000, 0.5000, 0.5000) and Cu at (0.0000, 0.0000, 0.5000).

(12)
Entry from Alexandria: a relaxed CaThCdAg crystal (PBE).

The value obtained for the total magnetization is 0.000 μB/atom. The value obtained for the density of states at the Fermi level is 12.07 states/eV per cell. Its formation energy is -0.1411 eV per atom.

It has space group F-43m (No. 216), with a = 7.5594 Å, b = 7.5594 Å, c = 7.5594 Å, α = 90.00°, β = 90.00° and γ = 90.00°. The asymmetric unit holds Ca at (0.0000, 0.0000, 0.0000), Th at (0.0000, 0.0000, 0.5000), Cd at (0.2500, 0.2500, 0.7500) and Ag at (0.2500, 0.2500, 0.2500).